Entry from Alexandria via LeMat-Bulk: a relaxed Rb2HgSe2 crystal (GGA-PBE).

Cell lengths 5.016, 5.008, 11.805 Å; angles 102.25, 129.87, 90.00 degrees
Atoms (fractional coordinates):
Se (0.920, 0.141, 0.282)
Hg (0.500, 0.000, 0.000)
Rb (0.469, 0.657, 0.314)
Se (0.080, 0.859, 0.718)
Rb (0.531, 0.343, 0.686)

Properties
Total DFT energy (no corrections), eV per atom: -2.71
Magnetization, μB per formula unit: 0.0

Entry from Alexandria via LeMat-Bulk: a relaxed TiNbZnAu crystal (GGA-PBE).

Cell lengths 3.888, 4.122, 4.143 Å; angles 90.00, 90.00, 90.00 degrees
Atoms (fractional coordinates):
Au (0.500, 0.500, 0.000)
Zn (0.000, 0.000, 0.000)
Nb (0.500, 0.000, 0.500)
Ti (0.000, 0.500, 0.500)

Properties
E_form, eV/f.u.: -0.85
Total DFT energy (no corrections), eV per atom: -5.84
Magnetization, μB per formula unit: 0.0

Entry from Alexandria via LeMat-Bulk: a relaxed Ac6C2NCl3 crystal (GGA-PBE).

Cell lengths 6.862, 6.862, 8.010 Å; angles 98.21, 98.21, 120.01 degrees
Atoms (fractional coordinates):
Cl (0.500, 0.500, 0.500)
Cl (0.171, 0.829, 0.500)
C (0.334, 0.666, 0.000)
Ac (0.734, 0.734, 0.194)
Ac (0.936, 0.605, 0.807)
Cl (0.829, 0.171, 0.500)
Ac (0.395, 0.064, 0.193)
N (0.000, 0.000, 0.000)
Ac (0.266, 0.266, 0.806)
Ac (0.605, 0.936, 0.807)
Ac (0.064, 0.395, 0.193)
C (0.666, 0.334, 0.000)

Properties
Total DFT energy (no corrections), eV per atom: -5.78
Magnetization, μB per formula unit: 0.0

Entry from Alexandria via LeMat-Bulk: a relaxed CeEr2Ag crystal (GGA-PBE).

Cell lengths 3.582, 3.582, 8.286 Å; angles 90.00, 90.00, 90.00 degrees
Atoms (fractional coordinates):
Er (0.000, 0.000, 0.217)
Er (0.000, 0.000, 0.783)
Ag (0.500, 0.500, 0.000)
Ce (0.500, 0.500, 0.500)

Properties
ΔE to the lowest computed polymorph, eV per formula unit: 0.00
E_form, eV/f.u.: -0.39
Total DFT energy (no corrections), eV per atom: -4.58
Magnetization, μB per formula unit: 0.6

Entry from Alexandria via LeMat-Bulk: a relaxed MnBi2Cl crystal (GGA-PBE).

Cell lengths 5.184, 5.184, 5.184 Å; angles 60.00, 60.00, 60.00 degrees
Atoms (fractional coordinates):
Bi (0.250, 0.250, 0.250)
Bi (0.750, 0.750, 0.750)
Cl (0.000, 0.000, 0.000)
Mn (0.500, 0.500, 0.500)

Properties
ΔE to the lowest computed polymorph, eV per formula unit: 0.00
Total DFT energy (no corrections), eV per atom: -4.47
Magnetization, μB per formula unit: 4.0

Entry from Alexandria via LeMat-Bulk: a relaxed AlV4W5 crystal (GGA-PBE).

Cell lengths 4.381, 6.715, 6.570 Å; angles 117.91, 109.47, 90.00 degrees
Atoms (fractional coordinates):
W (0.144, 0.189, 0.289)
W (0.784, 0.374, 0.568)
V (0.953, 0.257, 0.906)
V (0.689, 0.924, 0.377)
Al (0.500, 0.000, 0.000)
V (0.047, 0.743, 0.094)
W (0.216, 0.626, 0.432)
W (0.500, 0.500, 0.000)
V (0.311, 0.076, 0.623)
W (0.856, 0.811, 0.711)

Properties
E_form, eV/f.u.: 3.26
Total DFT energy (no corrections), eV per atom: -10.17
Magnetization, μB per formula unit: 0.0

Entry from Alexandria via LeMat-Bulk: a relaxed SbTe2Au crystal (GGA-PBE).

Cell lengths 5.158, 5.158, 4.009 Å; angles 90.00, 90.00, 100.94 degrees
Atoms (fractional coordinates):
Te (0.000, 0.000, 0.000)
Au (0.500, 0.000, 0.500)
Te (0.500, 0.500, 0.000)
Sb (0.000, 0.500, 0.500)

Properties
Total DFT energy (no corrections), eV per atom: -3.13
Magnetization, μB per formula unit: 0.0

Entry from Alexandria via LeMat-Bulk: a relaxed Tl2SiPb crystal (GGA-PBE).

Cell lengths 3.348, 3.348, 9.770 Å; angles 90.00, 90.00, 90.00 degrees
Atoms (fractional coordinates):
Tl (0.000, 0.000, 0.533)
Pb (0.500, 0.500, 0.250)
Si (0.500, 0.500, 0.750)
Tl (0.000, 0.000, 0.967)

Properties
ΔE to the lowest computed polymorph, eV per formula unit: 0.21
Total DFT energy (no corrections), eV per atom: -3.14
Magnetization, μB per formula unit: 0.0

Entry from Alexandria via LeMat-Bulk: a relaxed CaEuMgNi crystal (GGA-PBE).

Cell lengths 5.246, 5.246, 5.246 Å; angles 60.00, 60.00, 60.00 degrees
Atoms (fractional coordinates):
Ca (0.500, 0.500, 0.500)
Ni (0.250, 0.250, 0.250)
Mg (0.750, 0.750, 0.750)
Eu (0.000, 0.000, 0.000)

Properties
E_form, eV/f.u.: 0.23
Total DFT energy (no corrections), eV per atom: -4.86
Magnetization, μB per formula unit: 7.2

Entry from Alexandria via LeMat-Bulk: a relaxed TmInTe5Pb2 crystal (GGA-PBE).

Cell lengths 4.396, 10.303, 14.267 Å; angles 90.00, 90.00, 102.32 degrees
Atoms (fractional coordinates):
Te (0.703, 0.406, 0.173)
Pb (0.856, 0.711, 0.168)
Tm (0.197, 0.394, 0.022)
Te (0.958, 0.916, 0.554)
In (0.447, 0.893, 0.430)
Te (0.310, 0.621, 0.371)
Te (0.042, 0.084, 0.054)
Pb (0.874, 0.748, 0.824)
Pb (0.144, 0.289, 0.668)
Te (0.690, 0.379, 0.871)
Te (0.521, 0.042, 0.267)
Tm (0.803, 0.606, 0.522)
Te (0.652, 0.304, 0.513)
Te (0.479, 0.958, 0.767)
Pb (0.126, 0.252, 0.324)
In (0.553, 0.107, 0.930)
Te (0.348, 0.696, 0.013)
Te (0.297, 0.594, 0.673)

Properties
Total DFT energy (no corrections), eV per atom: -3.99
Magnetization, μB per formula unit: 0.0

Entry from Alexandria via LeMat-Bulk: a relaxed Tb2Sm3Tm6Zr crystal (GGA-PBE).

Cell lengths 6.080, 6.080, 11.556 Å; angles 95.02, 95.02, 119.96 degrees
Atoms (fractional coordinates):
Tm (0.081, 0.407, 0.243)
Tb (0.333, 0.667, 0.000)
Sm (0.166, 0.834, 0.500)
Tm (0.919, 0.593, 0.757)
Sm (0.500, 0.500, 0.500)
Sm (0.834, 0.166, 0.500)
Tm (0.593, 0.919, 0.757)
Tm (0.245, 0.245, 0.757)
Zr (0.000, 0.000, 0.000)
Tb (0.667, 0.333, 0.000)
Tm (0.407, 0.081, 0.243)
Tm (0.755, 0.755, 0.243)

Properties
E_form, eV/f.u.: 0.54
Total DFT energy (no corrections), eV per atom: -4.85
Magnetization, μB per formula unit: 0.0

Entry from Alexandria via LeMat-Bulk: a relaxed AcDy2Ni9 crystal (GGA-PBE).

Cell lengths 5.058, 5.058, 8.652 Å; angles 73.00, 73.00, 60.00 degrees
Atoms (fractional coordinates):
Ni (0.415, 0.917, 0.253)
Ni (0.917, 0.415, 0.253)
Ni (0.585, 0.585, 0.747)
Dy (0.859, 0.859, 0.423)
Dy (0.141, 0.141, 0.577)
Ac (0.000, 0.000, 0.000)
Ni (0.667, 0.667, 0.998)
Ni (0.333, 0.333, 0.002)
Ni (0.083, 0.585, 0.747)
Ni (0.415, 0.415, 0.253)
Ni (0.500, 0.500, 0.500)
Ni (0.585, 0.083, 0.747)

Properties
E_form, eV/f.u.: -4.20
Total DFT energy (no corrections), eV per atom: -5.80
Magnetization, μB per formula unit: 0.1